A geometry-optimized RbTl2Hg4 structure. Source: the Alexandria database, functional GGA-PBE.

spin magnetization: 0.000 μB per cell
space-group type: Cmmm, No. 65
theoretical density: 9.071 g/cm3
uncorrected energy: -0.0398 hartree per atom
formation enthalpy at 0 K: -9.28 kJ/mol of atoms
ΔE to the lowest computed polymorph: 0.010 eV per atom

Lattice parameters (Å, degrees): 5.490 5.632 8.177 110.15 90.00 90.00
Element x y z (fractional)
Rb 0.000 0.000 0.000
Tl 0.500 0.601 0.203
Tl 0.500 0.399 0.797
Hg 0.500 0.823 0.645
Hg 0.000 0.703 0.405
Hg 0.500 0.177 0.355
Hg 0.000 0.297 0.595